First-principles (GGA-PBE) data for ZrNb2V after structural relaxation, as listed in the Alexandria database.

Geometry as POSCAR:
```
ZrNb2V
1.0
-6.769 0.779 -2.704
2.179 -3.004 -6.321
-2.982 -3.677 -3.530
Nb Zr V
4 2 2
direct
0.597 0.125 0.250
0.153 0.625 0.250
0.375 0.403 0.750
0.875 0.847 0.750
0.000 0.000 0.000
0.750 0.250 0.500
0.500 0.500 0.000
0.250 0.750 0.500
```

total energy	-8.925	eV/atom
mass density	7.16	g cm⁻³
M_tot	0.00	μB per cell

=====

First-principles (GGA-PBE) data for PmSm2Tm after structural relaxation, as listed in the Alexandria database.

Geometry as POSCAR:
```
PmSm2Tm
1.0
5.092 0.000 0.000
0.000 5.084 0.000
0.000 0.000 5.084
Tm Sm Pm
1 2 1
direct
0.500 0.000 0.000
0.000 0.000 0.500
0.000 0.500 0.000
0.500 0.500 0.500
```

total energy	-4.647	eV/atom
mass density	7.76	g cm⁻³
M_tot	0.00	μB per cell

=====

First-principles (GGA-PBE) data for Mg2MnIn2 after structural relaxation, as listed in the Alexandria database.

Geometry as POSCAR:
```
Mg2MnIn2
1.0
7.234 0.000 0.000
0.000 7.234 0.000
0.000 0.000 4.355
Mg Mn In
4 2 4
direct
0.164 0.664 0.500
0.664 0.836 0.500
0.836 0.336 0.500
0.336 0.164 0.500
0.000 0.000 0.000
0.500 0.500 0.000
0.356 0.856 0.000
0.856 0.644 0.000
0.644 0.144 0.000
0.144 0.356 0.000
```

total energy	-3.384	eV/atom
mass density	4.85	g cm⁻³
M_tot	7.14	μB per cell

=====

First-principles (GGA-PBE) data for AlCrTe2 after structural relaxation, as listed in the Alexandria database.

Geometry as POSCAR:
```
AlCrTe2
1.0
3.939 0.000 0.000
0.000 7.803 0.000
0.000 0.000 3.888
Cr Te Al
1 2 1
direct
0.000 0.500 0.500
0.000 0.000 0.000
0.500 0.500 0.000
0.500 0.000 0.500
```

total energy	-4.699	eV/atom
mass density	4.64	g cm⁻³
M_tot	4.15	μB per cell
raw formation energy	0.214	eV per atom

=====

First-principles (GGA-PBE) data for LiB2W2 after structural relaxation, as listed in the Alexandria database.

Geometry as POSCAR:
```
LiB2W2
1.0
-1.143 5.414 1.662
-5.663 -1.075 -0.392
-0.032 -0.934 3.020
B W Li
4 4 2
direct
0.389 0.889 0.000
0.889 0.611 0.000
0.611 0.111 0.000
0.111 0.389 0.000
0.176 0.676 0.500
0.676 0.824 0.500
0.824 0.324 0.500
0.324 0.176 0.500
0.000 0.000 0.000
0.500 0.500 0.000
```

total energy	-8.392	eV/atom
mass density	12.47	g cm⁻³
M_tot	0.00	μB per cell

=====

First-principles (GGA-PBE) data for Mg2HgSe after structural relaxation, as listed in the Alexandria database.

Geometry as POSCAR:
```
Mg2HgSe
1.0
-0.649 -3.134 -2.519
4.863 1.618 -3.265
2.184 -2.194 2.167
Hg Mg Se
1 2 1
direct
0.000 0.500 0.500
0.000 0.000 0.000
0.500 0.500 0.000
0.500 0.000 0.500
```

total energy	-2.149	eV/atom
mass density	5.83	g cm⁻³
M_tot	0.00	μB per cell
raw formation energy	-0.405	eV per atom

=====

First-principles (GGA-PBE) data for La2NdRu after structural relaxation, as listed in the Alexandria database.

Geometry as POSCAR:
```
La2NdRu
1.0
6.519 0.000 0.000
0.000 7.417 0.000
0.000 0.000 10.015
La Nd Ru
8 4 4
direct
0.171 0.673 0.070
0.329 0.173 0.430
0.829 0.327 0.570
0.671 0.827 0.930
0.829 0.327 0.930
0.671 0.827 0.570
0.171 0.673 0.430
0.329 0.173 0.070
0.650 0.545 0.250
0.850 0.045 0.250
0.350 0.455 0.750
0.150 0.955 0.750
0.070 0.391 0.250
0.430 0.891 0.250
0.930 0.609 0.750
0.570 0.109 0.750
```

total energy	-6.195	eV/atom
mass density	7.18	g cm⁻³
M_tot	0.00	μB per cell

=====

First-principles (GGA-PBE) data for MnTe2Os after structural relaxation, as listed in the Alexandria database.

Geometry as POSCAR:
```
MnTe2Os
1.0
-0.875 3.900 0.350
0.562 -0.411 5.979
4.823 0.766 3.510
Mn Os Te
1 1 2
direct
0.500 0.250 0.250
0.500 0.750 0.750
0.000 0.905 0.905
0.000 0.595 0.595
```

total energy	-6.167	eV/atom
mass density	7.50	g cm⁻³
M_tot	4.92	μB per cell
raw formation energy	0.503	eV per atom

=====

First-principles (GGA-PBE) data for LaTcAg after structural relaxation, as listed in the Alexandria database.

Geometry as POSCAR:
```
LaTcAg
1.0
4.842 0.000 0.000
-2.421 4.193 0.000
0.000 0.000 3.068
Ag La Tc
1 1 1
direct
0.000 0.000 0.963
0.333 0.667 0.416
0.667 0.333 0.620
```

total energy	-5.586	eV/atom
mass density	9.19	g cm⁻³
M_tot	0.00	μB per cell